[1]
This record from the Alexandria database describes KSnGe2 after structural relaxation. The functional is PBE.

Cell lengths 5.2606, 5.2606, 10.5128 Å; angles 75.51, 75.51, 90.00 degrees
Last column: nearest neighbours and their distance in Å.
Sites, in units of the cell vectors:
K1 0.2500 0.7500 0.5000  4 Sn 3.72, 8 Ge 3.83
Ge1 0.3750 0.1251 0.7500  2 Ge 2.63, 2 Sn 2.79
Ge2 0.8749 0.1250 0.2500  2 Ge 2.63, 2 Sn 2.79
Ge3 0.8750 0.1249 0.7500  2 Ge 2.63, 2 Sn 2.79
Sn1 0.0000 0.0000 0.0000  4 Ge 2.79
K2 0.5000 0.5000 0.0000  4 Sn 3.72, 8 Ge 3.83
Ge4 0.8751 0.6250 0.2500  2 Ge 2.63, 2 Sn 2.79
Sn2 0.7500 0.2500 0.5000  4 Ge 2.79

Output
The value obtained for the final energy is -3.45 eV per atom. Its theoretical density is 3.7 g/cm³.

***

[2]
This record from the Alexandria database describes Dy2PuCo after structural relaxation. The functional is PBE.

Cell lengths 3.3591, 3.3591, 8.6714 Å; angles 90.00, 90.00, 90.00 degrees
Last column: nearest neighbours and their distance in Å.
Sites, in units of the cell vectors:
Dy1 0.0000 0.0000 0.8112  4 Co 2.88
Co1 0.5000 0.5000 0.0000  8 Dy 2.88
Pu1 0.5000 0.5000 0.5000  4 Pu 3.36, 8 Dy 3.60
Dy2 0.0000 0.0000 0.1888  4 Co 2.88

Output
The value obtained for the final energy is -7.66 eV per atom. Its theoretical density is 10.7 g/cm³.

***

[3]
This record from the Alexandria database describes TiPb2I after structural relaxation. The functional is PBE.

Cell lengths 4.4015, 4.4015, 12.3693 Å; angles 79.75, 79.75, 90.00 degrees
Last column: nearest neighbours and their distance in Å.
Sites, in units of the cell vectors:
Ti1 0.5000 0.5000 0.0000  4 I 3.11, 4 Pb 3.36
I1 0.0000 0.0000 0.0000  4 Ti 3.11, 4 Pb 3.39
Pb1 0.3750 0.3860 0.7500  4 Pb 3.04-3.18, 2 Ti 3.36, 2 I 3.39
Pb2 0.1360 0.6250 0.2500  4 Pb 3.04-3.18, 2 Ti 3.36, 2 I 3.39
Pb3 0.8750 0.8640 0.7500  4 Pb 3.04-3.18, 2 Ti 3.36, 2 I 3.39
Ti2 0.2500 0.7500 0.5000  4 I 3.11, 4 Pb 3.36
I2 0.7500 0.2500 0.5000  4 Ti 3.11, 4 Pb 3.39
Pb4 0.6140 0.1250 0.2500  4 Pb 3.04-3.18, 2 Ti 3.36, 2 I 3.39

Output
The value obtained for the final energy is -3.75 eV per atom. Its theoretical density is 8.4 g/cm³.

***

[4]
This record from the Alexandria database describes Ca3Mg7Cd2 after structural relaxation. The functional is PBE.

Cell lengths 6.1409, 6.1409, 10.4671 Å; angles 72.94, 72.94, 60.00 degrees
Last column: nearest neighbours and their distance in Å.
Sites, in units of the cell vectors:
Mg1 0.9212 0.4173 0.2442  2 Cd 2.98-2.99, 5 Mg 3.05-3.09
Cd1 0.6661 0.6661 0.0017  6 Mg 2.98-2.99
Ca1 0.1441 0.1441 0.5676  12 Mg 3.59-3.64, 3 Ca 3.79
Mg2 0.4173 0.4173 0.2442  2 Cd 2.98-2.99, 5 Mg 3.05-3.09
Mg3 0.5827 0.5827 0.7558  2 Cd 2.98-2.99, 5 Mg 3.05-3.09
Ca2 0.0000 0.0000 0.0000  6 Cd 3.55, 12 Mg 3.90
Mg4 0.0788 0.5827 0.7558  2 Cd 2.98-2.99, 5 Mg 3.05-3.09
Mg5 0.4173 0.9212 0.2442  2 Cd 2.98-2.99, 5 Mg 3.05-3.09
Cd2 0.3339 0.3339 0.9983  6 Mg 2.98-2.99
Mg6 0.5827 0.0788 0.7558  2 Cd 2.98-2.99, 5 Mg 3.05-3.09
Mg7 0.5000 0.5000 0.5000  6 Mg 3.09
Ca3 0.8559 0.8559 0.4324  12 Mg 3.59-3.64, 3 Ca 3.79

Output
The value obtained for the final energy is -1.72 eV per atom. Its theoretical density is 2.7 g/cm³.

***

[5]
This record from the Alexandria database describes ScNbGa2 after structural relaxation. The functional is PBE.

Cell lengths 4.6458, 4.6458, 4.6458 Å; angles 60.00, 60.00, 60.00 degrees
Last column: nearest neighbours and their distance in Å.
Sites, in units of the cell vectors:
Nb1 0.5000 0.5000 0.5000  8 Ga 2.84
Ga1 0.7500 0.7500 0.7500  4 Sc 2.84, 4 Nb 2.84
Ga2 0.2500 0.2500 0.2500  4 Nb 2.84, 4 Sc 2.84
Sc1 0.0000 0.0000 0.0000  8 Ga 2.84

Output
The value obtained for the final energy is -5.89 eV per atom. Its theoretical density is 6.5 g/cm³.

***

[6]
This record from the Alexandria database describes Ce2Ge3Pt5 after structural relaxation. The functional is PBE.

Cell lengths 4.1582, 4.1582, 11.3874 Å; angles 90.00, 90.00, 90.00 degrees
Last column: nearest neighbours and their distance in Å.
Sites, in units of the cell vectors:
Pt1 0.5000 0.5000 0.5000  4 Ge 2.57
Ce1 0.5000 0.0000 0.2182  8 Pt 3.02-3.24
Pt2 0.5000 0.0000 0.8411  1 Ge 2.38
Ge1 0.0000 0.0000 0.5000  4 Ge 2.57
Pt3 0.0000 0.0000 0.0000  8 Pt 2.76-2.94
Ge2 0.0000 0.5000 0.3679  3 Pt 2.38-2.57, 2 Ge 2.57
Ge3 0.5000 0.0000 0.6321  3 Pt 2.38-2.57, 2 Ge 2.57
Pt4 0.5000 0.5000 0.0000  8 Pt 2.76-2.94
Ce2 0.0000 0.5000 0.7818  8 Pt 3.02-3.24
Pt5 0.0000 0.5000 0.1589  1 Ge 2.38

Output
The value obtained for the final energy is -6.31 eV per atom. Its theoretical density is 12.4 g/cm³.

***

[7]
This record from the Alexandria database describes Pr3CoSi3 after structural relaxation. The functional is PBE.

Cell lengths 4.2826, 5.9911, 13.1235 Å; angles 84.58, 80.61, 69.06 degrees
Last column: nearest neighbours and their distance in Å.
Sites, in units of the cell vectors:
Co1 0.2415 0.9352 0.5817  4 Si 2.29-2.51
Pr1 0.5224 0.3376 0.6176  7 Si 3.01-3.34, 4 Co 3.05-3.36
Si1 0.1593 0.2285 0.4529  3 Co 2.29-2.38
Si2 0.0622 0.1208 0.7549  1 Co 2.51, 1 Si 2.57
Si3 0.8407 0.7715 0.5471  3 Co 2.29-2.38
Pr2 0.7493 0.7292 0.7722  5 Si 2.91-3.07
Pr3 0.2507 0.2708 0.2278  5 Si 2.91-3.07
Si4 0.9378 0.8792 0.2451  1 Co 2.51, 1 Si 2.57
Pr4 0.4776 0.6624 0.3824  7 Si 3.01-3.34, 4 Co 3.05-3.36
Si5 0.1051 0.8658 0.9240  2 Si 2.52-2.57
Co2 0.7585 0.0648 0.4183  4 Si 2.29-2.51
Pr5 0.3985 0.2844 0.9185  7 Si 3.05-3.26
Pr6 0.6015 0.7156 0.0815  7 Si 3.05-3.26
Si6 0.8949 0.1342 0.0760  2 Si 2.52-2.57

Output
The value obtained for the final energy is -6.04 eV per atom. Its theoretical density is 6.1 g/cm³.

***

[8]
This record from the Alexandria database describes NaUIn2Cl8 after structural relaxation. The functional is PBE.

Cell lengths 6.9286, 7.0066, 8.8011 Å; angles 89.98, 90.01, 94.83 degrees
Last column: nearest neighbours and their distance in Å.
Sites, in units of the cell vectors:
Cl1 0.8830 0.2160 0.7902  1 U 2.56
Cl2 0.3201 0.2683 0.4999  1 Na 2.78, 2 In 2.83
Cl3 0.1170 0.7840 0.2098  1 U 2.56
Cl4 0.6799 0.7317 0.5001  1 Na 2.78, 2 In 2.83
In1 0.4999 0.4997 0.7324  2 Cl 2.83
In2 0.5001 0.5003 0.2676  2 Cl 2.83
Na1 0.0000 0.0000 0.5000  6 Cl 2.78-3.11
Cl5 0.3257 0.1892 0.0002  1 U 2.52
Cl6 0.1174 0.7842 0.7902  1 U 2.56
Cl7 0.8826 0.2158 0.2098  1 U 2.56
Cl8 0.6743 0.8108 0.9998  1 U 2.52
U1 0.0000 0.0000 0.0000  6 Cl 2.52-2.56

Output
The value obtained for the final energy is -4.13 eV per atom. Its theoretical density is 3.0 g/cm³.

***

[9]
This record from the Alexandria database describes Dy5Ga2Se2 after structural relaxation. The functional is PBE.

Cell lengths 7.6469, 7.6867, 8.3310 Å; angles 90.00, 62.68, 90.00 degrees
Last column: nearest neighbours and their distance in Å.
Sites, in units of the cell vectors:
Se1 0.3011 0.5000 0.3978  7 Dy 2.94-3.03
Ga1 0.8747 0.6223 0.0000  1 Ga 2.68
Se2 0.6989 0.5000 0.6022  7 Dy 2.94-3.03
Dy1 0.0315 0.6636 0.2763  3 Se 2.96-3.03, 3 Ga 3.02-3.06
Ga2 0.6253 0.1223 0.0000  1 Ga 2.68
Dy2 0.6923 0.3364 0.2763  3 Se 2.96-3.03, 3 Ga 3.02-3.06
Dy3 0.9685 0.3364 0.7237  3 Se 2.96-3.03, 3 Ga 3.02-3.06
Se3 0.8011 0.0000 0.3978  7 Dy 2.94-3.03
Dy4 0.0000 0.0000 0.0000  2 Se 2.94, 4 Ga 3.02-3.06
Ga3 0.1253 0.3777 0.0000  1 Ga 2.68
Dy5 0.3077 0.6636 0.7237  3 Se 2.96-3.03, 3 Ga 3.02-3.06
Dy6 0.5315 0.8364 0.2763  3 Se 2.96-3.03, 3 Ga 3.02-3.06
Dy7 0.1923 0.1636 0.2763  3 Se 2.96-3.03, 3 Ga 3.02-3.06
Ga4 0.3747 0.8777 0.0000  1 Ga 2.68
Se4 0.1989 0.0000 0.6022  7 Dy 2.94-3.03
Dy8 0.8077 0.8364 0.7237  3 Se 2.96-3.03, 3 Ga 3.02-3.06
Dy9 0.4685 0.1636 0.7237  3 Se 2.96-3.03, 3 Ga 3.02-3.06
Dy10 0.5000 0.5000 0.0000  2 Se 2.94, 4 Ga 3.02-3.06

Output
The value obtained for the final energy is -5.06 eV per atom. Its theoretical density is 8.5 g/cm³.

***

[10]
This record from the Alexandria database describes Hf2MgFeBr after structural relaxation. The functional is PBE.

Cell lengths 5.1660, 4.2819, 5.1660 Å; angles 90.00, 90.00, 90.00 degrees
Last column: nearest neighbours and their distance in Å.
Sites, in units of the cell vectors:
Mg1 0.0000 0.0000 0.0000  2 Fe 2.14
Fe1 0.0000 0.5000 0.0000  2 Mg 2.14
Br1 0.5000 0.5000 0.5000  8 Hf 3.35, 4 Fe 3.65
Hf1 0.0000 0.0000 0.5000  2 Mg 2.58
Hf2 0.5000 0.0000 0.0000  2 Mg 2.58

Output
The value obtained for the final energy is -4.86 eV per atom. Its theoretical density is 7.5 g/cm³.

***

[11]
This record from the Alexandria database describes InFeBr after structural relaxation. The functional is PBE.

Cell lengths 6.5343, 6.5343, 6.5343 Å; angles 150.96, 150.96, 41.54 degrees
Last column: nearest neighbours and their distance in Å.
Sites, in units of the cell vectors:
Fe1 0.6627 0.6627 0.0000  4 Br 2.78, 4 In 2.86
Br1 0.0371 0.0371 0.0000  4 Fe 2.78
In1 0.3002 0.3002 0.0000  4 Fe 2.86

Output
The value obtained for the final energy is -4.05 eV per atom. Its theoretical density is 6.3 g/cm³.

***

[12]
This record from the Alexandria database describes PuPtI2 after structural relaxation. The functional is PBE.

Cell lengths 4.0092, 4.0092, 9.6587 Å; angles 78.02, 78.02, 60.00 degrees
Last column: nearest neighbours and their distance in Å.
Sites, in units of the cell vectors:
Pu1 0.0000 0.0000 0.0000  2 I 3.06
I1 0.1089 0.1089 0.6733  3 Pt 2.83, 1 Pu 3.06
Pt1 0.5000 0.5000 0.5000  6 I 2.83
I2 0.8911 0.8911 0.3267  3 Pt 2.83, 1 Pu 3.06

Output
The value obtained for the final energy is -5.63 eV per atom. Its theoretical density is 8.8 g/cm³.

***

[13]
This record from the Alexandria database describes Cl2OF2 after structural relaxation. The functional is PBE.

Cell lengths 3.7631, 3.7631, 7.7040 Å; angles 75.86, 75.86, 90.00 degrees
Last column: nearest neighbours and their distance in Å.
Sites, in units of the cell vectors:
O1 0.0000 0.0000 0.0000  8 F 2.76
Cl1 0.7500 0.2500 0.5000  4 Cl 2.66
Cl2 0.2500 0.7500 0.5000  4 Cl 2.66
F1 0.4504 0.4504 0.0991  1 F 1.43
F2 0.5496 0.5496 0.9009  1 F 1.43

Output
The value obtained for the final energy is -1.70 eV per atom. Its theoretical density is 2.0 g/cm³.